[1]
# GGA-PBE YIn2W, optimized geometry
data_YIn2W
_chemical_formula_sum 'Y2 In4 W2'
_cell_length_a 10.050
_cell_length_b 3.143
_cell_length_c 5.734
_cell_angle_alpha 90.00
_cell_angle_beta 99.48
_cell_angle_gamma 90.00
_space_group_name_H-M_alt 'C 1 2/m 1'
_space_group_IT_number 12
loop_
_space_group_symop_operation_xyz
'x,y,z'
'-x,-y,-z'
'-x,y,-z'
'x,-y,z'
'x+1/2,y+1/2,z'
'-x+1/2,-y+1/2,-z'
'-x+1/2,y+1/2,-z'
'x+1/2,-y+1/2,z'
loop_
_atom_site_label
_atom_site_type_symbol
_atom_site_fract_x
_atom_site_fract_y
_atom_site_fract_z
Y1 Y 0.000 0.000 0.000
In1 In 0.240 0.000 0.721
W1 W 0.000 0.500 0.500
# Total DFT energy (no corrections): -23.903 eV per formula unit
# E above lowest polymorph: 0.058 eV/atom
# DFT formation energy: 23.90 kJ/mol of atoms

[2]
# GGA-PBE LiMg2Co, optimized geometry
data_LiMg2Co
_chemical_formula_sum 'Li1 Mg2 Co1'
_cell_length_a 3.081
_cell_length_b 3.081
_cell_length_c 7.098
_cell_angle_alpha 90.00
_cell_angle_beta 90.00
_cell_angle_gamma 90.00
_space_group_name_H-M_alt 'P 4/m m m'
_space_group_IT_number 123
_space_group_name_Hall '-P 4 2'
loop_
_atom_site_label
_atom_site_type_symbol
_atom_site_fract_x
_atom_site_fract_y
_atom_site_fract_z
Li1 Li 0.000 0.000 0.000
Mg1 Mg 0.500 0.500 0.293
Co1 Co 0.000 0.000 0.500
# Total DFT energy (no corrections): -11.955 eV per formula unit
# DFT formation energy: 6.12 kJ/mol of atoms

[3]
# GGA-PBE Pd3PtW, optimized geometry
data_Pd3PtW
_chemical_formula_sum 'Pd3 Pt1 W1'
_cell_length_a 4.815
_cell_length_b 4.815
_cell_length_c 4.815
_cell_angle_alpha 90.00
_cell_angle_beta 90.00
_cell_angle_gamma 90.00
_space_group_name_H-M_alt 'P m -3 m'
_space_group_IT_number 221
_space_group_name_Hall '-P 4 2 3'
loop_
_atom_site_label
_atom_site_type_symbol
_atom_site_fract_x
_atom_site_fract_y
_atom_site_fract_z
Pd1 Pd 0.000 0.000 0.500
Pt1 Pt 0.000 0.000 0.000
W1 W 0.500 0.500 0.500
# Total DFT energy (no corrections): -25.686 eV per formula unit
# E above lowest polymorph: 1.636 eV/atom
# DFT formation energy: 171.48 kJ/mol of atoms

[4]
# GGA-PBE Pu2Sn2Ge, optimized geometry
data_Pu2Sn2Ge
_chemical_formula_sum 'Pu4 Sn4 Ge2'
_cell_length_a 4.061
_cell_length_b 4.061
_cell_length_c 16.087
_cell_angle_alpha 90.00
_cell_angle_beta 90.00
_cell_angle_gamma 90.00
_space_group_name_H-M_alt 'I 4/m m m'
_space_group_IT_number 139
_space_group_name_Hall '-I 4 2'
loop_
_atom_site_label
_atom_site_type_symbol
_atom_site_fract_x
_atom_site_fract_y
_atom_site_fract_z
Pu1 Pu 0.000 0.000 0.086
Sn1 Sn 0.000 0.500 0.250
Ge1 Ge 0.000 0.000 0.500
# Total DFT energy (no corrections): -41.756 eV per formula unit
# DFT formation energy: -9.06 kJ/mol of atoms

[5]
# GGA-PBE BeCoN, optimized geometry
data_BeCoN
_chemical_formula_sum 'Be4 Co4 N4'
_cell_length_a 4.939
_cell_length_b 2.818
_cell_length_c 7.274
_cell_angle_alpha 90.00
_cell_angle_beta 102.23
_cell_angle_gamma 90.00
_space_group_name_H-M_alt 'C 1 2/m 1'
_space_group_IT_number 12
loop_
_space_group_symop_operation_xyz
'x,y,z'
'-x,-y,-z'
'-x,y,-z'
'x,-y,z'
'x+1/2,y+1/2,z'
'-x+1/2,-y+1/2,-z'
'-x+1/2,y+1/2,-z'
'x+1/2,-y+1/2,z'
loop_
_atom_site_label
_atom_site_type_symbol
_atom_site_fract_x
_atom_site_fract_y
_atom_site_fract_z
Be1 Be 0.198 0.000 0.106
Co1 Co 0.099 0.500 0.362
N1 N 0.117 0.000 0.842
# Raw formation energy: -289 meV per atom
# Total DFT energy (no corrections): -20.024 eV per formula unit

[6]
# GGA-PBE Hf2PPd, optimized geometry
data_Hf2PPd
_chemical_formula_sum 'Hf8 P4 Pd4'
_cell_length_a 7.084
_cell_length_b 7.084
_cell_length_c 6.088
_cell_angle_alpha 90.00
_cell_angle_beta 90.00
_cell_angle_gamma 90.00
_space_group_name_H-M_alt 'I -4 2 d'
_space_group_IT_number 122
_space_group_name_Hall 'I -4 2bw'
loop_
_atom_site_label
_atom_site_type_symbol
_atom_site_fract_x
_atom_site_fract_y
_atom_site_fract_z
Hf1 Hf 0.238 0.250 0.125
P1 P 0.000 0.000 0.000
Pd1 Pd 0.000 0.000 0.500
# Total DFT energy (no corrections): -32.465 eV per formula unit
# DFT formation energy: -47.18 kJ/mol of atoms

[7]
# GGA-PBE Mg2CoSe, optimized geometry
data_Mg2CoSe
_chemical_formula_sum 'Mg4 Co2 Se2'
_cell_length_a 11.921
_cell_length_b 3.027
_cell_length_c 4.341
_cell_angle_alpha 90.00
_cell_angle_beta 111.27
_cell_angle_gamma 90.00
_space_group_name_H-M_alt 'C 1 m 1'
_space_group_IT_number 8
loop_
_space_group_symop_operation_xyz
'x,y,z'
'x,-y,z'
'x+1/2,y+1/2,z'
'x+1/2,-y+1/2,z'
loop_
_atom_site_label
_atom_site_type_symbol
_atom_site_fract_x
_atom_site_fract_y
_atom_site_fract_z
Mg1 Mg 0.000 0.000 0.000
Mg2 Mg 0.190 0.000 0.690
Co1 Co 0.208 0.500 0.208
Se1 Se 0.368 0.000 0.367
# Raw formation energy: -208 meV per atom
# Total DFT energy (no corrections): -14.613 eV per formula unit
# E above lowest polymorph: 0.089 eV/atom

[8]
# GGA-PBE Tm6HN5, optimized geometry
data_Tm6HN5
_chemical_formula_sum 'Tm12 H2 N10'
_cell_length_a 5.904
_cell_length_b 10.209
_cell_length_c 5.903
_cell_angle_alpha 90.00
_cell_angle_beta 109.59
_cell_angle_gamma 90.00
_space_group_name_H-M_alt 'C 1 2/m 1'
_space_group_IT_number 12
loop_
_space_group_symop_operation_xyz
'x,y,z'
'-x,-y,-z'
'-x,y,-z'
'x,-y,z'
'x+1/2,y+1/2,z'
'-x+1/2,-y+1/2,-z'
'-x+1/2,y+1/2,-z'
'x+1/2,-y+1/2,z'
loop_
_atom_site_label
_atom_site_type_symbol
_atom_site_fract_x
_atom_site_fract_y
_atom_site_fract_z
Tm1 Tm 0.237 0.000 0.264
Tm2 Tm 0.239 0.176 0.744
H1 H 0.000 0.500 0.000
N1 N 0.000 0.000 0.500
N2 N 0.000 0.167 0.000
N3 N 0.000 0.333 0.500
# Total DFT energy (no corrections): -90.974 eV per formula unit

[9]
# GGA-PBE MnSb2P2, optimized geometry
data_MnSb2P2
_chemical_formula_sum 'Mn2 Sb4 P4'
_cell_length_a 5.963
_cell_length_b 5.963
_cell_length_c 5.458
_cell_angle_alpha 90.00
_cell_angle_beta 90.00
_cell_angle_gamma 90.00
_space_group_name_H-M_alt 'P 4/m b m'
_space_group_IT_number 127
_space_group_name_Hall '-P 4 2ab'
loop_
_atom_site_label
_atom_site_type_symbol
_atom_site_fract_x
_atom_site_fract_y
_atom_site_fract_z
Mn1 Mn 0.000 0.000 0.000
Sb1 Sb 0.210 0.290 0.500
P1 P 0.138 0.362 0.000
# Raw formation energy: 188 meV per atom
# Total DFT energy (no corrections): -27.295 eV per formula unit
# E above lowest polymorph: 0.072 eV/atom

[10]
# GGA-PBE Sm3DyHo2Er6, optimized geometry
data_Sm3DyHo2Er6
_chemical_formula_sum 'Sm6 Dy2 Ho4 Er12'
_cell_length_a 6.140
_cell_length_b 10.626
_cell_length_c 11.706
_cell_angle_alpha 90.00
_cell_angle_beta 100.03
_cell_angle_gamma 90.00
_space_group_name_H-M_alt 'C 1 2/m 1'
_space_group_IT_number 12
loop_
_space_group_symop_operation_xyz
'x,y,z'
'-x,-y,-z'
'-x,y,-z'
'x,-y,z'
'x+1/2,y+1/2,z'
'-x+1/2,-y+1/2,-z'
'-x+1/2,y+1/2,-z'
'x+1/2,-y+1/2,z'
loop_
_atom_site_label
_atom_site_type_symbol
_atom_site_fract_x
_atom_site_fract_y
_atom_site_fract_z
Sm1 Sm 0.000 0.000 0.000
Sm2 Sm 0.000 0.333 0.000
Dy1 Dy 0.000 0.500 0.500
Ho1 Ho 0.000 0.167 0.500
Er1 Er 0.249 0.000 0.747
Er2 Er 0.249 0.333 0.747
# Total DFT energy (no corrections): -55.059 eV per formula unit
# DFT formation energy: 1.88 kJ/mol of atoms

[11]
# GGA-PBE YSc2Ta, optimized geometry
data_YSc2Ta
_chemical_formula_sum 'Y2 Sc4 Ta2'
_cell_length_a 10.412
_cell_length_b 3.133
_cell_length_c 5.869
_cell_angle_alpha 90.00
_cell_angle_beta 97.43
_cell_angle_gamma 90.00
_space_group_name_H-M_alt 'C 1 2/m 1'
_space_group_IT_number 12
loop_
_space_group_symop_operation_xyz
'x,y,z'
'-x,-y,-z'
'-x,y,-z'
'x,-y,z'
'x+1/2,y+1/2,z'
'-x+1/2,-y+1/2,-z'
'-x+1/2,y+1/2,-z'
'x+1/2,-y+1/2,z'
loop_
_atom_site_label
_atom_site_type_symbol
_atom_site_fract_x
_atom_site_fract_y
_atom_site_fract_z
Y1 Y 0.000 0.000 0.000
Sc1 Sc 0.239 0.000 0.720
Ta1 Ta 0.000 0.500 0.500
# Total DFT energy (no corrections): -30.080 eV per formula unit
# E above lowest polymorph: 0.068 eV/atom
# DFT formation energy: 21.71 kJ/mol of atoms

[12]
# GGA-PBE PmPuC, optimized geometry
data_PmPuC
_chemical_formula_sum 'Pm2 Pu2 C2'
_cell_length_a 6.115
_cell_length_b 3.520
_cell_length_c 6.653
_cell_angle_alpha 90.00
_cell_angle_beta 107.99
_cell_angle_gamma 90.00
_space_group_name_H-M_alt 'P 1 21/m 1'
_space_group_IT_number 11
loop_
_space_group_symop_operation_xyz
'x,y,z'
'-x,-y,-z'
'-x,y+1/2,-z'
'x,-y+1/2,z'
loop_
_atom_site_label
_atom_site_type_symbol
_atom_site_fract_x
_atom_site_fract_y
_atom_site_fract_z
Pm1 Pm 0.009 0.250 0.275
Pu1 Pu 0.494 0.250 0.727
C1 C 0.280 0.750 0.509
# Total DFT energy (no corrections): -28.330 eV per formula unit
# E above lowest polymorph: 0.000 eV/atom
# DFT formation energy: -0.75 kJ/mol of atoms

[13]
# GGA-PBE CrIn2Te, optimized geometry
data_CrIn2Te
_chemical_formula_sum 'Cr2 In4 Te2'
_cell_length_a 5.880
_cell_length_b 11.620
_cell_length_c 4.032
_cell_angle_alpha 90.00
_cell_angle_beta 131.69
_cell_angle_gamma 90.00
_space_group_name_H-M_alt 'C 1 2/m 1'
_space_group_IT_number 12
loop_
_space_group_symop_operation_xyz
'x,y,z'
'-x,-y,-z'
'-x,y,-z'
'x,-y,z'
'x+1/2,y+1/2,z'
'-x+1/2,-y+1/2,-z'
'-x+1/2,y+1/2,-z'
'x+1/2,-y+1/2,z'
loop_
_atom_site_label
_atom_site_type_symbol
_atom_site_fract_x
_atom_site_fract_y
_atom_site_fract_z
Cr1 Cr 0.000 0.000 0.000
In1 In 0.250 0.250 0.500
Te1 Te 0.000 0.500 0.000
# Raw formation energy: 161 meV per atom
# Total DFT energy (no corrections): -17.597 eV per formula unit

[14]
# GGA-PBE IrSe2Cl, optimized geometry
data_IrSe2Cl
_chemical_formula_sum 'Ir2 Se4 Cl2'
_cell_length_a 2.817
_cell_length_b 5.488
_cell_length_c 10.767
_cell_angle_alpha 90.00
_cell_angle_beta 90.00
_cell_angle_gamma 90.00
_space_group_name_H-M_alt 'C m m m'
_space_group_IT_number 65
_space_group_name_Hall '-C 2 2'
loop_
_atom_site_label
_atom_site_type_symbol
_atom_site_fract_x
_atom_site_fract_y
_atom_site_fract_z
Ir1 Ir 0.000 0.000 0.000
Se1 Se 0.000 0.500 0.197
Cl1 Cl 0.000 0.000 0.500
# Raw formation energy: 370 meV per atom
# Total DFT energy (no corrections): -16.197 eV per formula unit
# E above lowest polymorph: 0.627 eV/atom

[15]
# GGA-PBE Sb2AsBr, optimized geometry
data_Sb2AsBr
_chemical_formula_sum 'Sb4 As2 Br2'
_cell_length_a 8.872
_cell_length_b 3.971
_cell_length_c 7.369
_cell_angle_alpha 90.00
_cell_angle_beta 113.26
_cell_angle_gamma 90.00
_space_group_name_H-M_alt 'C 1 2/m 1'
_space_group_IT_number 12
loop_
_space_group_symop_operation_xyz
'x,y,z'
'-x,-y,-z'
'-x,y,-z'
'x,-y,z'
'x+1/2,y+1/2,z'
'-x+1/2,-y+1/2,-z'
'-x+1/2,y+1/2,-z'
'x+1/2,-y+1/2,z'
loop_
_atom_site_label
_atom_site_type_symbol
_atom_site_fract_x
_atom_site_fract_y
_atom_site_fract_z
Sb1 Sb 0.240 0.000 0.325
As1 As 0.000 0.000 0.500
Br1 Br 0.000 0.500 0.000
# Raw formation energy: 15 meV per atom
# Total DFT energy (no corrections): -14.508 eV per formula unit
# E above lowest polymorph: 0.068 eV/atom

[16]
# GGA-PBE GaReI2, optimized geometry
data_GaReI2
_chemical_formula_sum 'Ga4 Re4 I8'
_cell_length_a 7.068
_cell_length_b 7.068
_cell_length_c 7.068
_cell_angle_alpha 90.00
_cell_angle_beta 90.00
_cell_angle_gamma 90.00
_space_group_name_H-M_alt 'F m -3 m'
_space_group_IT_number 225
_space_group_name_Hall '-F 4 2 3'
loop_
_atom_site_label
_atom_site_type_symbol
_atom_site_fract_x
_atom_site_fract_y
_atom_site_fract_z
Ga1 Ga 0.000 0.000 0.000
Re1 Re 0.000 0.000 0.500
I1 I 0.250 0.250 0.250
# Raw formation energy: 1179 meV per atom
# Total DFT energy (no corrections): -13.859 eV per formula unit
# E above lowest polymorph: 0.689 eV/atom

[17]
# GGA-PBE Zr4TiFe5, optimized geometry
data_Zr4TiFe5
_chemical_formula_sum 'Zr4 Ti1 Fe5'
_cell_length_a 3.129
_cell_length_b 3.129
_cell_length_c 15.690
_cell_angle_alpha 90.00
_cell_angle_beta 90.00
_cell_angle_gamma 90.00
_space_group_name_H-M_alt 'P 4/m m m'
_space_group_IT_number 123
_space_group_name_Hall '-P 4 2'
loop_
_atom_site_label
_atom_site_type_symbol
_atom_site_fract_x
_atom_site_fract_y
_atom_site_fract_z
Zr1 Zr 0.000 0.000 0.102
Zr2 Zr 0.000 0.000 0.306
Ti1 Ti 0.000 0.000 0.500
Fe1 Fe 0.500 0.500 0.000
Fe2 Fe 0.500 0.500 0.204
Fe3 Fe 0.500 0.500 0.410
# Total DFT energy (no corrections): -86.407 eV per formula unit
# DFT formation energy: -19.35 kJ/mol of atoms

[18]
# GGA-PBE KGa, optimized geometry
data_KGa
_chemical_formula_sum 'K6 Ga6'
_cell_length_a 4.481
_cell_length_b 16.110
_cell_length_c 6.616
_cell_angle_alpha 90.00
_cell_angle_beta 90.00
_cell_angle_gamma 90.00
_space_group_name_H-M_alt 'P m m n'
_space_group_IT_number 59
loop_
_space_group_symop_operation_xyz
'x,y,z'
'-x,-y,-z'
'-x+1/2,-y+1/2,z'
'x+1/2,y+1/2,-z'
'x+1/2,-y,-z'
'-x+1/2,y,z'
'-x,y+1/2,-z'
'x,-y+1/2,z'
loop_
_atom_site_label
_atom_site_type_symbol
_atom_site_fract_x
_atom_site_fract_y
_atom_site_fract_z
K1 K 0.250 0.033 0.232
K2 K 0.250 0.750 0.489
Ga1 Ga 0.250 0.250 0.002
Ga2 Ga 0.250 0.662 0.996
# Total DFT energy (no corrections): -4.181 eV per formula unit
# E above lowest polymorph: 0.077 eV/atom
# DFT formation energy: -2.73 kJ/mol of atoms

[19]
# GGA-PBE HfCuSi3, optimized geometry
data_HfCuSi3
_chemical_formula_sum 'Hf1 Cu1 Si3'
_cell_length_a 5.027
_cell_length_b 5.027
_cell_length_c 5.027
_cell_angle_alpha 90.00
_cell_angle_beta 90.00
_cell_angle_gamma 90.00
_space_group_name_H-M_alt 'P m -3 m'
_space_group_IT_number 221
_space_group_name_Hall '-P 4 2 3'
loop_
_atom_site_label
_atom_site_type_symbol
_atom_site_fract_x
_atom_site_fract_y
_atom_site_fract_z
Hf1 Hf 0.000 0.000 0.000
Cu1 Cu 0.500 0.500 0.500
Si1 Si 0.000 0.000 0.500
# Raw formation energy: 1105 meV per atom
# Total DFT energy (no corrections): -24.795 eV per formula unit
# E above lowest polymorph: 0.470 eV/atom

[20]
# GGA-PBE MgCr2Tc, optimized geometry
data_MgCr2Tc
_chemical_formula_sum 'Mg2 Cr4 Tc2'
_cell_length_a 3.639
_cell_length_b 3.639
_cell_length_c 8.608
_cell_angle_alpha 90.00
_cell_angle_beta 90.00
_cell_angle_gamma 90.00
_space_group_name_H-M_alt 'I -4 m 2'
_space_group_IT_number 119
_space_group_name_Hall 'I -4 -2'
loop_
_atom_site_label
_atom_site_type_symbol
_atom_site_fract_x
_atom_site_fract_y
_atom_site_fract_z
Mg1 Mg 0.000 0.000 0.000
Cr1 Cr 0.000 0.000 0.500
Cr2 Cr 0.000 0.500 0.250
Tc1 Tc 0.000 0.500 0.750
# Total DFT energy (no corrections): -29.418 eV per formula unit
# DFT formation energy: 43.17 kJ/mol of atoms